Version 1
The following is a DFT calculation (PBE) of Ga2SiS after structural relaxation.

```
data_Ga2SiS
_chemical_formula_sum 'Ga2 Si1 S1'
_cell_length_a 4.644
_cell_length_b 4.644
_cell_length_c 4.644
_cell_angle_alpha 60.00
_cell_angle_beta 60.00
_cell_angle_gamma 60.00
_space_group_name_H-M_alt 'P 1'
_space_group_IT_number 1
_space_group_name_Hall 'P 1'
loop_
_atom_site_label
_atom_site_fract_x
_atom_site_fract_y
_atom_site_fract_z
_atom_site_occupancy
Ga1 0.750 0.750 0.750 1
Ga2 0.250 0.250 0.250 1
S1 0.500 0.500 0.500 1
Si1 0.000 0.000 0.000 1
```

=====

Version 2
The following is a DFT calculation (PBE) of Ga2SiS after structural relaxation.

```
data_Ga2SiS
_chemical_formula_sum 'Ga4 Si2 S2'
_cell_length_a 5.593
_cell_length_b 5.593
_cell_length_c 6.919
_cell_angle_alpha 66.16
_cell_angle_beta 66.16
_cell_angle_gamma 90.00
_space_group_name_H-M_alt 'P 1'
_space_group_IT_number 1
_space_group_name_Hall 'P 1'
loop_
_atom_site_label
_atom_site_fract_x
_atom_site_fract_y
_atom_site_fract_z
_atom_site_occupancy
Ga1 0.613 0.125 0.250 1
Ga2 0.375 0.387 0.750 1
Ga3 0.875 0.863 0.750 1
Ga4 0.137 0.625 0.250 1
Si1 0.250 0.750 0.500 1
Si2 0.500 0.500 0.000 1
S1 0.750 0.250 0.500 1
S2 0.000 0.000 0.000 1
```

=====

On energetic grounds, version 2 is preferred over the next structure by 589 meV per atom.